Entry 1:
The following is a PBE-GGA calculation of a geometry-optimized YMg2CuPb structure, from Alexandria via LeMat-Bulk.

Unit cell a=4.9004 b=4.9004 c=5.2884 alpha=90.00 beta=90.00 gamma=90.00
Space group P4/mmm (No. 123)
Inequivalent atoms, fractional coordinates:
Y  0.0000  0.0000  0.0000 x1
Mg  0.0000  0.5000  0.5000 x2
Cu  0.0000  0.0000  0.5000 x1
Pb  0.5000  0.5000  0.0000 x1

Computed properties:
Energy of formation from the pure elements ... -1.59 kcal/mol of atoms

Entry 2:
The following is a PBE-GGA calculation of a geometry-optimized Sc4GaSe2 structure, from Alexandria via LeMat-Bulk.

Unit cell a=3.7586 b=12.5684 c=12.7988 alpha=90.00 beta=90.00 gamma=90.00
Space group Cmcm (No. 63)
Inequivalent atoms, fractional coordinates:
Sc  0.0000  0.0000  0.0000 x4
Sc  0.0000  0.2760  0.1280 x8
Sc  0.0000  0.4430  0.7500 x4
Ga  0.0000  0.1048  0.7500 x4
Se  0.0000  0.3618  0.5606 x8

Computed properties:
E_form (uncorrected) ... -1091 meV per atom

Entry 3:
The following is a PBE-GGA calculation of a geometry-optimized Ce2Cu5Ge3 structure, from Alexandria via LeMat-Bulk.

Unit cell a=9.8525 b=11.8895 c=5.9093 alpha=90.00 beta=90.00 gamma=90.00
Space group Ibam (No. 72)
Inequivalent atoms, fractional coordinates:
Ce  0.2418  0.1262  0.0000 x8
Cu  0.0000  0.2635  0.2500 x8
Cu  0.0000  0.5000  0.2500 x4
Cu  0.1189  0.1284  0.5000 x8
Ge  0.0000  0.0000  0.2500 x4
Ge  0.1408  0.3774  0.0000 x8

Computed properties:
Energy of formation from the pure elements ... -9.45 kcal/mol of atoms

Entry 4:
The following is a PBE-GGA calculation of a geometry-optimized Tl2HPtSe structure, from Alexandria via LeMat-Bulk.

Unit cell a=5.5039 b=5.5039 c=3.5351 alpha=90.00 beta=90.00 gamma=90.00
Space group P4/mmm (No. 123)
Inequivalent atoms, fractional coordinates:
Tl  0.0000  0.5000  0.0000 x2
H  0.0000  0.0000  0.5000 x1
Pt  0.0000  0.0000  0.0000 x1
Se  0.5000  0.5000  0.5000 x1

Entry 5:
The following is a PBE-GGA calculation of a geometry-optimized NpZnAu4 structure, from Alexandria via LeMat-Bulk.

Unit cell a=7.8804 b=7.8804 c=7.8804 alpha=90.00 beta=90.00 gamma=90.00
Space group F-43m (No. 216)
Inequivalent atoms, fractional coordinates:
Np  0.0000  0.0000  0.0000 x4
Zn  0.2500  0.2500  0.7500 x4
Au  0.1245  0.1245  0.3755 x16

Computed properties:
Energy of formation from the pure elements ... -0.88 kcal/mol of atoms

Entry 6:
The following is a PBE-GGA calculation of a geometry-optimized CdSb2 structure, from Alexandria via LeMat-Bulk.

Unit cell a=11.9434 b=3.1678 c=8.7869 alpha=90.00 beta=91.13 gamma=90.00
Space group Cm (No. 8)
Inequivalent atoms, fractional coordinates:
Cd  0.0000  0.0000  0.0000 x2
Cd  0.2321  0.0000  0.3371 x2
Sb  0.2310  0.5000  0.6546 x2
Sb  0.2549  0.0000  0.9996 x2
Sb  0.4898  0.0000  0.6689 x2
Sb  0.4909  0.0000  0.3267 x2

Computed properties:
E_form (uncorrected) ... 104 meV per atom

| no. | electronic total energy (eV per atom) |
| --- | --- |
| 1 | -3.560 |
| 2 | -6.137 |
| 3 | -5.030 |
| 4 | -3.600 |
| 5 | -4.592 |
| 6 | -2.950 |